Record 1
DFT (PBE) results for LaDy3Cl after structural relaxation.

Results
V	152.4	Å³ per cell
symmetry	No. 221

a b c (Å): 5.3420 5.3420 5.3420
angles (deg): 90.00 90.00 90.00
Last column: nearest neighbours and their distance in Å.
Element x y z (fractional)
Dy1 0.5000 0.0000 0.0000  2 Cl 2.67
Dy2 0.0000 0.0000 0.5000  2 Cl 2.67
Dy3 0.0000 0.5000 0.0000  2 Cl 2.67
La1 0.5000 0.5000 0.5000  12 Dy 3.78
Cl1 0.0000 0.0000 0.0000  6 Dy 2.67

Record 2
DFT (PBE) results for LaDy2Cl after structural relaxation.

Results
V	115.7	Å³ per cell
symmetry	No. 166

a b c (Å): 3.4454 3.4454 11.4335
angles (deg): 81.33 81.33 60.00
Last column: nearest neighbours and their distance in Å.
Element x y z (fractional)
Dy1 0.1013 0.1013 0.6962  3 Cl 2.97
Dy2 0.8987 0.8987 0.3038  3 Cl 2.97
La1 0.0000 0.0000 0.0000  2 Dy 3.42, 6 La 3.45
Cl1 0.5000 0.5000 0.5000  6 Dy 2.97

Record 3
DFT (PBE) results for La3DyCl after structural relaxation.

Results
V	172.6	Å³ per cell
symmetry	No. 221

a b c (Å): 5.5680 5.5680 5.5680
angles (deg): 90.00 90.00 90.00
Last column: nearest neighbours and their distance in Å.
Element x y z (fractional)
La1 0.5000 0.0000 0.0000  2 Cl 2.78
La2 0.0000 0.5000 0.0000  2 Cl 2.78
La3 0.0000 0.0000 0.5000  2 Cl 2.78
Cl1 0.0000 0.0000 0.0000  6 La 2.78
Dy1 0.5000 0.5000 0.5000  12 La 3.94

Record 4
DFT (PBE) results for La2DyCl after structural relaxation.

Results
V	126.2	Å³ per cell
symmetry	No. 166

a b c (Å): 3.7147 3.7147 10.7778
angles (deg): 80.08 80.08 60.00
Last column: nearest neighbours and their distance in Å.
Element x y z (fractional)
Cl1 0.0000 0.0000 0.0000  6 La 3.17
La1 0.2598 0.2598 0.2207  3 Cl 3.17
La2 0.7402 0.7402 0.7793  3 Cl 3.17
Dy1 0.5000 0.5000 0.5000  6 La 3.65, 6 Dy 3.71

Number 1: final energy -4.571 eV per atom, total magnetization 0.00 Bohr magnetons per cell. Number 2: final energy -4.418 eV per atom, total magnetization 0.00 Bohr magnetons per cell. Number 3: final energy -4.785 eV per atom, total magnetization 0.00 Bohr magnetons per cell. Number 4: final energy -4.760 eV per atom, total magnetization 0.00 Bohr magnetons per cell.